A relaxed KIrW crystal, computed with PBE.

D(E_F): 0.742 states/eV/atom
V: 19.3 Å³/atom
Final energy: -6.774 eV per atom
Energy relative to the elements: 0.86 eV per atom
Magnetization: 0.0000 μB per atom

Cell lengths 8.540, 8.340, 2.796 Å; angles 84.53, 76.45, 19.02 degrees
Positions (direct):
Ir 0.014 0.014 0.986
K 0.341 0.341 0.659
W 0.646 0.646 0.354